w.
This record from the Alexandria database describes crystalline Tl2BiRh at its relaxed geometry. The functional is PBE.

Computed properties:
* symmetry: I-42d, No. 122
* magnetic moment: 0.00 Bohr magnetons per cell
* density: 11.846 Mg/m³

abc: 4.2978 4.2978 11.3521
angles: 79.09 79.09 90.00
With the nearest neighbours (Å) after each atom.
Atoms (fractional coordinates):
Tl1 0.6102 0.1250 0.2500  4 Tl 2.95-3.13, 2 Rh 3.11, 2 Bi 3.15
Tl2 0.1398 0.6250 0.2500  4 Tl 2.95-3.13, 2 Rh 3.11, 2 Bi 3.15
Tl3 0.3750 0.3898 0.7500  4 Tl 2.95-3.13, 2 Rh 3.11, 2 Bi 3.15
Tl4 0.8750 0.8602 0.7500  4 Tl 2.95-3.13, 2 Rh 3.11, 2 Bi 3.15
Rh1 0.5000 0.5000 0.0000  4 Bi 3.04, 4 Tl 3.11
Rh2 0.2500 0.7500 0.5000  4 Bi 3.04, 4 Tl 3.11
Bi1 0.0000 0.0000 0.0000  4 Rh 3.04, 4 Tl 3.15
Bi2 0.7500 0.2500 0.5000  4 Rh 3.04, 4 Tl 3.15

***

x.
This record from the Alexandria database describes crystalline Tl2BiRh at its relaxed geometry. The functional is PBE.

Computed properties:
* symmetry: Fm-3m, No. 225
* magnetic moment: 0.00 Bohr magnetons per cell
* density: 12.262 Mg/m³

abc: 5.1679 5.1679 5.1679
angles: 60.00 60.00 60.00
With the nearest neighbours (Å) after each atom.
Atoms (fractional coordinates):
Tl1 0.2500 0.2500 0.2500  4 Bi 3.16, 4 Rh 3.16
Tl2 0.7500 0.7500 0.7500  4 Rh 3.16, 4 Bi 3.16
Rh1 0.0000 0.0000 0.0000  8 Tl 3.16
Bi1 0.5000 0.5000 0.5000  8 Tl 3.16

***

Which structure is the least stable? The one labeled x.

***

w.
This record from the Alexandria database describes crystalline TlBiRh at its relaxed geometry. The functional is PBE.

Computed properties:
* symmetry: Pnma, No. 62
* magnetic moment: 0.00 Bohr magnetons per cell
* density: 11.425 Mg/m³

abc: 3.7271 6.5043 12.3809
angles: 90.00 90.00 90.00
With the nearest neighbours (Å) after each atom.
Atoms (fractional coordinates):
Tl1 0.7500 0.2442 0.7113  3 Rh 2.84-2.85
Tl2 0.7500 0.2558 0.2113  3 Rh 2.84-2.85
Tl3 0.2500 0.7558 0.2887  3 Rh 2.84-2.85
Tl4 0.2500 0.7442 0.7887  3 Rh 2.84-2.85
Bi1 0.7500 0.7934 0.0499  3 Rh 2.69-2.71
Bi2 0.2500 0.2066 0.9501  3 Rh 2.69-2.71
Bi3 0.7500 0.7066 0.5499  3 Rh 2.69-2.71
Bi4 0.2500 0.2934 0.4501  3 Rh 2.69-2.71
Rh1 0.7500 0.0071 0.4004  3 Bi 2.69-2.71, 3 Tl 2.84-2.85
Rh2 0.2500 0.5071 0.0996  3 Bi 2.69-2.71, 3 Tl 2.84-2.85
Rh3 0.7500 0.4929 0.9004  3 Bi 2.69-2.71, 3 Tl 2.84-2.85
Rh4 0.2500 0.9929 0.5996  3 Bi 2.69-2.71, 3 Tl 2.84-2.85

***

x.
This record from the Alexandria database describes crystalline TlBiRh at its relaxed geometry. The functional is PBE.

Computed properties:
* symmetry: I4mm, No. 107
* magnetic moment: 0.00 Bohr magnetons per cell
* density: 11.832 Mg/m³

abc: 3.3536 3.3536 6.8652
angles: 104.14 104.14 90.00
With the nearest neighbours (Å) after each atom.
Atoms (fractional coordinates):
Tl1 0.0274 0.0274 0.0549  4 Rh 3.05, 4 Tl 3.35
Rh1 0.6759 0.6759 0.3518  4 Bi 2.84, 4 Tl 3.05
Bi1 0.2966 0.2966 0.5933  4 Rh 2.84

***

Which structure is the least stable? The one labeled x.

***

w.
This record from the Alexandria database describes crystalline TlBiRh at its relaxed geometry. The functional is PBE.

Computed properties:
* symmetry: F-43m, No. 216
* magnetic moment: 0.00 Bohr magnetons per cell
* density: 11.636 Mg/m³

abc: 4.7056 4.7056 4.7056
angles: 60.00 60.00 60.00
With the nearest neighbours (Å) after each atom.
Atoms (fractional coordinates):
Tl1 0.5000 0.5000 0.5000  4 Rh 2.88
Rh1 0.2500 0.2500 0.2500  4 Bi 2.88, 4 Tl 2.88
Bi1 0.0000 0.0000 0.0000  4 Rh 2.88

***

x.
This record from the Alexandria database describes crystalline TlBiRh at its relaxed geometry. The functional is PBE.

Computed properties:
* symmetry: P3m1, No. 156
* magnetic moment: 0.00 Bohr magnetons per cell
* density: 11.707 Mg/m³

abc: 3.5861 3.5861 6.5747
angles: 90.00 90.00 120.00
With the nearest neighbours (Å) after each atom.
Atoms (fractional coordinates):
Tl1 0.0000 0.0000 0.0442  3 Rh 2.85
Rh1 0.6667 0.3333 0.3430  3 Bi 2.73, 3 Tl 2.85
Bi1 0.3333 0.6667 0.6128  3 Rh 2.73

***

Which structure is the least stable? The one labeled x.

***

w.
This record from the Alexandria database describes crystalline Tm2BiRh at its relaxed geometry. The functional is PBE.

Computed properties:
* symmetry: P4/mmm, No. 123
* magnetic moment: 0.00 Bohr magnetons per cell
* density: 11.278 Mg/m³

abc: 3.5330 3.5330 7.6647
angles: 90.00 90.00 90.00
With the nearest neighbours (Å) after each atom.
Atoms (fractional coordinates):
Tm1 0.0000 0.0000 0.7910  4 Rh 2.97, 1 Tm 3.20
Tm2 0.0000 0.0000 0.2090  4 Rh 2.97, 1 Tm 3.20
Rh1 0.5000 0.5000 0.0000  8 Tm 2.97
Bi1 0.5000 0.5000 0.5000  8 Tm 3.35, 4 Bi 3.53

***

x.
This record from the Alexandria database describes crystalline Tm2BiRh at its relaxed geometry. The functional is PBE.

Computed properties:
* symmetry: R-3m, No. 166
* magnetic moment: 0.00 Bohr magnetons per cell
* density: 10.250 Mg/m³

abc: 3.8218 3.8218 8.6095
angles: 77.18 77.18 60.00
With the nearest neighbours (Å) after each atom.
Atoms (fractional coordinates):
Tm1 0.7306 0.7306 0.8081  3 Rh 2.72
Tm2 0.2694 0.2694 0.1919  3 Rh 2.72
Rh1 0.0000 0.0000 0.0000  6 Tm 2.72
Bi1 0.5000 0.5000 0.5000  6 Tm 3.38

***

y.
This record from the Alexandria database describes crystalline Tm2BiRh at its relaxed geometry. The functional is PBE.

Computed properties:
* symmetry: P2/c, No. 13
* magnetic moment: 0.00 Bohr magnetons per cell
* density: 10.508 Mg/m³

abc: 5.9958 6.2047 11.4964
angles: 106.21 90.00 90.00
With the nearest neighbours (Å) after each atom.
Atoms (fractional coordinates):
Tm1 0.8442 0.0412 0.8813  2 Rh 2.75-2.93
Tm2 0.1558 0.9588 0.1187  2 Rh 2.75-2.93
Tm3 0.8442 0.4588 0.6187  2 Rh 2.75-2.93
Tm4 0.1558 0.5412 0.3813  2 Rh 2.75-2.93
Tm5 0.6870 0.4345 0.1672  2 Rh 2.74-2.88, 1 Bi 3.05
Tm6 0.3130 0.5655 0.8328  2 Rh 2.74-2.88, 1 Bi 3.05
Tm7 0.6870 0.0655 0.3328  2 Rh 2.74-2.88, 1 Bi 3.05
Tm8 0.3130 0.9345 0.6672  2 Rh 2.74-2.88, 1 Bi 3.05
Bi1 0.1977 0.0538 0.4049  1 Rh 2.86, 5 Tm 3.05-3.19
Bi2 0.8023 0.9462 0.5951  1 Rh 2.86, 5 Tm 3.05-3.19
Bi3 0.1977 0.4462 0.0951  1 Rh 2.86, 5 Tm 3.05-3.19
Bi4 0.8023 0.5538 0.9049  1 Rh 2.86, 5 Tm 3.05-3.19
Rh1 0.3287 0.4525 0.5850  4 Tm 2.74-2.93, 1 Bi 2.86, 1 Rh 3.01
Rh2 0.6713 0.5475 0.4150  4 Tm 2.74-2.93, 1 Bi 2.86, 1 Rh 3.01
Rh3 0.3287 0.0475 0.9150  4 Tm 2.74-2.93, 1 Bi 2.86, 1 Rh 3.01
Rh4 0.6713 0.9525 0.0850  4 Tm 2.74-2.93, 1 Bi 2.86, 1 Rh 3.01

***

Which structure is the least stable? The one labeled y.